(1)
VASP calculation (PBE) on a geometry-optimized AcPrSn structure.

Summary:
The magnetic moment comes out at 0.00 μB per cell. For the energy above the most stable polymorph in this dataset, the calculation gives 29 meV/atom. Its space-group type is R3m. As for the total DFT energy (no corrections): -14.00 eV per formula unit.

a b c (Å): 4.878 4.878 4.878
angles (deg): 74.35 74.35 74.35
Fractional positions:
Ac 0.467 0.467 0.467
Pr 0.082 0.082 0.082
Sn 0.781 0.781 0.781



(2)
VASP calculation (PBE) on a geometry-optimized SrAcPr structure.

Summary:
The magnetic moment comes out at 0.25 μB per cell. For the energy above the most stable polymorph in this dataset, the calculation gives 0 meV/atom. Its space-group type is F-43m. As for the total DFT energy (no corrections): -8.54 eV per formula unit.

a b c (Å): 6.023 6.023 6.023
angles (deg): 60.00 60.00 60.00
Fractional positions:
Ac 0.500 0.500 0.500
Pr 0.250 0.250 0.250
Sr 0.000 0.000 0.000



(3)
VASP calculation (PBE) on a geometry-optimized AcPrTa structure.

Summary:
The magnetic moment comes out at 1.34 μB per cell. Its energy relative to the elements is 0.9025 eV/atom. Its space-group type is F-43m. As for the total DFT energy (no corrections): -18.03 eV per formula unit.

a b c (Å): 5.265 5.265 5.265
angles (deg): 60.00 60.00 60.00
Fractional positions:
Ac 0.750 0.750 0.750
Pr 0.250 0.250 0.250
Ta 0.000 0.000 0.000



(4)
VASP calculation (PBE) on a geometry-optimized AcTbPr structure.

Summary:
The magnetic moment comes out at 0.03 μB per cell. For the energy above the most stable polymorph in this dataset, the calculation gives 0 meV/atom. Its energy relative to the elements is 0.6441 eV/atom. Its space-group type is F-43m. As for the total DFT energy (no corrections): -11.58 eV per formula unit.

a b c (Å): 5.712 5.712 5.712
angles (deg): 60.00 60.00 60.00
Fractional positions:
Ac 0.750 0.750 0.750
Pr 0.250 0.250 0.250
Tb 0.000 0.000 0.000



> Among the records above, which one has the lowest magnetic moment?

AcPrSn